## CrBi2PN (PBE)

Data for CrBi2PN after structural relaxation.

Calculated values
Total magnetic moment, μB per formula unit: 5.200
SG: P4/mmm, No. 123
Formation energy without anion corrections, eV/atom: 1.40
Mass density, kg/m3: 6412
Calculated total energy, eV per cell: -24.10
Calculated volume, A^3/atom: 26.67

Cell and atoms, written as POSCAR:
```
CrBi2PN
1.0
5.474 0.000 0.000
0.000 4.451 0.000
0.000 0.000 5.474
P Bi N Cr
1 2 1 1
Direct
0.000 0.000 0.000 P
0.500 0.000 0.000 Bi
0.000 0.000 0.500 Bi
0.500 0.500 0.500 N
0.000 0.500 0.000 Cr
```